DFT (PBE) results for ErTm8Pb2 after structural relaxation.

abc: 5.6342 8.7114 8.7114
angles: 120.05 102.51 102.51
Closest atoms and distances in Å follow each position.
Element x y z (fractional)
Er: 0.5000 0.0000 0.0000  8 Tm 3.21-3.59
Tm: 0.8780 0.9028 0.6792  2 Pb 3.16-3.35, 4 Tm 3.28-3.48
Tm: 0.8780 0.6792 0.9028  2 Pb 3.16-3.35, 4 Tm 3.28-3.48
Tm: 0.2989 0.5933 0.5933  4 Tm 3.04-3.40, 1 Er 3.21, 2 Pb 3.31
Tm: 0.5000 0.7844 0.2156  2 Pb 3.13, 1 Er 3.25
Tm: 0.5000 0.2156 0.7844  2 Pb 3.13, 1 Er 3.25
Tm: 0.7011 0.4067 0.4067  4 Tm 3.04-3.40, 1 Er 3.21, 2 Pb 3.31
Tm: 0.1220 0.3208 0.0972  2 Pb 3.16-3.35, 4 Tm 3.28-3.48
Tm: 0.1220 0.0972 0.3208  2 Pb 3.16-3.35, 4 Tm 3.28-3.48
Pb: 0.0000 0.3054 0.6946  8 Tm 3.13-3.35
Pb: 0.0000 0.6946 0.3054  8 Tm 3.13-3.35

Results
The calculation puts the total energy at -48.25 eV per cell. For the spin magnetization, the calculation gives 0.00 μB/f.u. As for the crystal system: monoclinic. The calculated formation energy is -0.045 eV/atom.

DFT (PBE) results for Er6Tm12Pb after structural relaxation.

abc: 8.4718 8.4718 8.4718
angles: 98.22 98.22 98.22
Closest atoms and distances in Å follow each position.
Element x y z (fractional)
Er: 0.1381 0.1381 0.4119  4 Tm 3.26-3.41, 1 Pb 3.49, 2 Er 3.51
Er: 0.8619 0.5881 0.8619  4 Tm 3.26-3.41, 1 Pb 3.49, 2 Er 3.51
Er: 0.5881 0.8619 0.8619  4 Tm 3.26-3.41, 1 Pb 3.49, 2 Er 3.51
Er: 0.8619 0.8619 0.5881  4 Tm 3.26-3.41, 1 Pb 3.49, 2 Er 3.51
Er: 0.1381 0.4119 0.1381  4 Tm 3.26-3.41, 1 Pb 3.49, 2 Er 3.51
Er: 0.4119 0.1381 0.1381  4 Tm 3.26-3.41, 1 Pb 3.49, 2 Er 3.51
Tm: 0.5833 0.1729 0.5833  5 Tm 3.10-3.44
Tm: 0.1729 0.5833 0.5833  5 Tm 3.10-3.44
Tm: 0.5833 0.5833 0.1729  5 Tm 3.10-3.44
Tm: 0.4167 0.8271 0.4167  5 Tm 3.10-3.44
Tm: 0.8271 0.4167 0.4167  5 Tm 3.10-3.44
Tm: 0.4167 0.4167 0.8271  5 Tm 3.10-3.44
Tm: 0.2600 0.0000 0.7400  4 Er 3.26-3.41, 6 Tm 3.33-3.52, 1 Pb 3.33
Tm: 0.2600 0.7400 0.0000  4 Er 3.26-3.41, 1 Pb 3.33, 6 Tm 3.33-3.52
Tm: 0.0000 0.2600 0.7400  4 Er 3.26-3.41, 6 Tm 3.33-3.52, 1 Pb 3.33
Tm: 0.7400 0.0000 0.2600  4 Er 3.26-3.41, 6 Tm 3.33-3.52, 1 Pb 3.33
Tm: 0.7400 0.2600 0.0000  4 Er 3.26-3.41, 1 Pb 3.33, 6 Tm 3.33-3.52
Tm: 0.0000 0.7400 0.2600  4 Er 3.26-3.41, 6 Tm 3.33-3.52, 1 Pb 3.33
Pb: 0.0000 0.0000 0.0000  6 Tm 3.33, 6 Er 3.49

Results
The value obtained for the energy above the most stable polymorph in this dataset is 28 meV/atom. The calculation puts the total energy at -82.85 eV per cell. For the spin magnetization, the calculation gives 0.00 μB/f.u. As for the crystal system: trigonal. The calculated formation energy is 0.099 eV/atom.

DFT (PBE) results for Er5Tm8Pb after structural relaxation.

abc: 8.3615 8.3615 8.3615
angles: 105.86 116.97 105.86
Closest atoms and distances in Å follow each position.
Element x y z (fractional)
Er: 0.9470 0.2218 0.9972  5 Tm 3.14-3.42, 3 Er 3.24-3.34
Er: 0.0028 0.9498 0.2246  5 Tm 3.14-3.42, 3 Er 3.24-3.34
Er: 0.7754 0.7782 0.7252  5 Tm 3.14-3.42, 3 Er 3.24-3.34
Er: 0.5000 0.0000 0.5000  8 Tm 3.48-3.83, 4 Er 3.55
Er: 0.2748 0.0502 0.0530  5 Tm 3.14-3.42, 3 Er 3.24-3.34
Tm: 0.0507 0.6018 0.9744  1 Pb 3.12, 4 Er 3.14-3.42
Tm: 0.0256 0.0762 0.6274  1 Pb 3.12, 4 Er 3.14-3.42
Tm: 0.7616 0.3334 0.4181  3 Tm 3.26-3.65, 1 Pb 3.29, 2 Er 3.32-3.48
Tm: 0.5819 0.3435 0.9152  3 Tm 3.26-3.65, 1 Pb 3.29, 2 Er 3.32-3.48
Tm: 0.5717 0.6565 0.2384  3 Tm 3.26-3.65, 1 Pb 3.29, 2 Er 3.32-3.48
Tm: 0.5512 0.9238 0.9493  1 Pb 3.12, 4 Er 3.14-3.42
Tm: 0.3726 0.3982 0.4488  1 Pb 3.12, 4 Er 3.14-3.42
Tm: 0.0848 0.6666 0.4283  3 Tm 3.26-3.65, 1 Pb 3.29, 2 Er 3.32-3.48
Pb: 0.2500 0.5000 0.7500  8 Tm 3.12-3.29

Results
The calculation puts the total energy at -59.76 eV per cell. For the spin magnetization, the calculation gives 0.00 μB/f.u. As for the crystal system: tetragonal. The calculated formation energy is 0.181 eV/atom.